# K2BaSi meta-GGA SCAN single point on PBEsol structure
data_K2BaSi
_chemical_formula_sum 'K2 Ba1 Si1'
_space_group_name_H-M_alt 'P 4 m m'
_space_group_IT_number 99
_cell_length_a 4.0500
_cell_length_b 4.0500
_cell_length_c 11.2748
_cell_angle_alpha 90.00
_cell_angle_beta 90.00
_cell_angle_gamma 90.00
loop_
_space_group_symop_operation_xyz
'x,y,z'
'-y,x,z'
'-x,-y,z'
'y,-x,z'
'-x,y,z'
'y,x,z'
'x,-y,z'
'-y,-x,z'
loop_
_atom_site_label
_atom_site_fract_x
_atom_site_fract_y
_atom_site_fract_z
K1 0.0000 0.0000 0.0000
K2 0.5000 0.5000 0.3387
Ba1 0.5000 0.5000 0.6648
Si1 0.0000 0.0000 0.5160
# Density in Mg/m³: 2.187
# M_tot in μB/cell: 0.01
# ΔE_f (raw) in kJ per mole of atoms: 8.2